[1]
# BaDy2O4

A relaxed structure of BaDy2O4 (PBE, OQMD via LeMat-Bulk).

abc: 9.9594 9.9594 9.9594
angles: 90.00 90.00 90.00
Closest atoms and distances in Å follow each position.
Space group Fd-3m (No. 227, origin choice 2)
Asymmetric unit:
Ba 0.1250 0.1250 0.1250 [8 per cell]  4 O 2.51
Dy 0.0000 0.0000 0.5000 [16 per cell]  6 O 2.30
O 0.0208 0.0208 0.7292 [32 per cell]  3 Dy 2.30, 1 Ba 2.51

Results
As for the uncorrected energy: -430.91 eV/cell. For the total moment, the calculation gives 0.000 μB/atom.


[2]
# BaDy2O3

A relaxed structure of BaDy2O3 (PBE, OQMD via LeMat-Bulk).

abc: 3.6687 4.5891 12.0640
angles: 90.00 90.00 90.00
Closest atoms and distances in Å follow each position.
Space group Immm (No. 71)
Asymmetric unit:
Ba 0.0000 0.0000 0.0000 [2 per cell]  8 O 2.94-2.96
Dy 0.0000 0.0000 0.3207 [4 per cell]  5 O 2.16-2.40
O 0.0000 0.0000 0.5000 [2 per cell]  2 Dy 2.16
O 0.0000 0.5000 0.3077 [4 per cell]  4 Dy 2.30-2.40

Results
As for the uncorrected energy: -84.51 eV/cell. For the total moment, the calculation gives 0.005 μB/atom.